1.
DFT (GGA-PBE) results for a relaxed Th2UPt9 crystal.

- symmetry = No. 123
- ΔE_f (eV/f.u.) = -11.57
- Fermi-level density of states (states/eV per cell) = 7.665

Cell: 4.212 4.212 12.640 Å, 90.00 90.00 90.00°
Fractional coordinates of all 12 atoms:
1 Th 0.000 0.000 0.669
2 Th 0.000 0.000 0.331
3 Pt 0.500 0.500 0.333
4 Pt 0.000 0.500 0.500
5 Pt 0.500 0.500 0.667
6 Pt 0.500 0.000 0.164
7 Pt 0.500 0.000 0.836
8 Pt 0.000 0.500 0.836
9 Pt 0.500 0.500 0.000
10 Pt 0.500 0.000 0.500
11 Pt 0.000 0.500 0.164
12 U 0.000 0.000 0.000

***

2.
DFT (GGA-PBE) results for a relaxed Al2CdRh crystal.

- symmetry = No. 99
- ΔE_f (eV/f.u.) = -1.44
- Fermi-level density of states (states/eV per cell) = 1.329

Cell: 3.368 3.368 5.792 Å, 90.00 90.00 90.00°
Fractional coordinates of all 4 atoms:
1 Cd 0.000 0.000 0.496
2 Al 0.000 0.000 0.971
3 Al 0.500 0.500 0.233
4 Rh 0.500 0.500 0.799

***

3.
DFT (GGA-PBE) results for a relaxed CeHo2Er3Te6 crystal.

- formation energy from raw total energies (eV/atom) = -1.253
- symmetry = No. 12
- Fermi-level density of states (states/eV per cell) = 12.121

Cell: 4.321 8.776 9.755 Å, 103.45 102.79 90.00°
Fractional coordinates of all 12 atoms:
1 Te 0.328 0.916 0.656
2 Te 0.000 0.260 0.999
3 Te 0.332 0.417 0.663
4 Te 0.000 0.740 0.001
5 Te 0.668 0.583 0.337
6 Te 0.672 0.084 0.344
7 Ho 0.837 0.673 0.674
8 Ho 0.163 0.327 0.326
9 Er 0.500 0.500 0.000
10 Er 0.837 0.167 0.673
11 Er 0.163 0.833 0.327
12 Ce 0.500 0.000 0.000

***

4.
DFT (GGA-PBE) results for a relaxed Sc3NbN crystal.

- formation energy from raw total energies (eV/atom) = 1.533
- symmetry = No. 221
- offset from the most stable computed form (meV/atom) = 2067
- Fermi-level density of states (states/eV per cell) = 3.585

Cell: 4.979 4.979 4.979 Å, 90.00 90.00 90.00°
Fractional coordinates of all 5 atoms:
1 Sc 0.500 0.000 0.000
2 Sc 0.000 0.000 0.500
3 Sc 0.000 0.500 0.000
4 N 0.500 0.500 0.500
5 Nb 0.000 0.000 0.000